No. 1
VASP calculation (SCAN) on a crystal of Y2Ir3 relaxed with PBEsol.

Properties
calculated formation energy	-0.9061	eV/atom
size of the total moment	0.0000	μB/atom
raw total energy	-273.5	eV/f.u.

abc: 5.3363 5.3816 8.3064
angles: 99.16 108.74 60.28
Closest atoms and distances in Å follow each position.
Fractional positions:
Ir1 0.3991 0.1479 0.2505  4 Ir 2.51-2.69
Ir2 0.2965 0.8521 0.7495  4 Ir 2.51-2.69
Ir3 0.3986 0.6479 0.2495  4 Ir 2.51-2.69
Ir4 0.7970 0.3521 0.7505  4 Ir 2.51-2.69
Ir5 0.0873 0.0000 0.0000  4 Ir 2.51-2.56
Ir6 0.3373 0.5000 0.5000  4 Ir 2.51-2.56
Y1 0.8243 0.6599 0.0913  8 Ir 2.89-3.17
Y2 0.3929 0.3401 0.9087  8 Ir 2.89-3.17
Y3 0.9830 0.1599 0.4087  8 Ir 2.89-3.17
Y4 0.7342 0.8401 0.5913  8 Ir 2.89-3.17



No. 2
VASP calculation (SCAN) on a crystal of AgPd2Pt2 relaxed with PBEsol.

Properties
calculated formation energy	0.3261	eV/atom
size of the total moment	0.0023	μB/atom
raw total energy	-235.7	eV/f.u.

abc: 3.6679 3.6679 6.7627
angles: 105.73 105.73 90.00
Closest atoms and distances in Å follow each position.
Fractional positions:
Pd1 0.2500 0.7500 0.5000  4 Pd 2.59, 4 Pt 2.63
Pd2 0.7500 0.2500 0.5000  4 Pd 2.59, 4 Pt 2.63
Ag1 0.0000 0.0000 0.0000  8 Pt 2.87
Pt1 0.4011 0.4011 0.8022  1 Pt 2.47, 4 Pd 2.63
Pt2 0.5989 0.5989 0.1978  1 Pt 2.47, 4 Pd 2.63



No. 3
VASP calculation (SCAN) on a crystal of AsIrPt2 relaxed with PBEsol.

Properties
calculated formation energy	0.1768	eV/atom
size of the total moment	0.2008	μB/atom
raw total energy	-231.0	eV/f.u.

abc: 2.8473 2.8473 8.7494
angles: 80.64 80.64 60.00
Closest atoms and distances in Å follow each position.
Fractional positions:
As1 0.5000 0.5000 0.5000  6 Pt 2.66, 6 As 2.85
Ir1 0.0000 0.0000 0.0000  6 Pt 2.75, 6 Ir 2.85
Pt1 0.2477 0.2477 0.2568  3 As 2.66, 3 Ir 2.75, 6 Pt 2.85
Pt2 0.7523 0.7523 0.7432  3 As 2.66, 3 Ir 2.75, 6 Pt 2.85



No. 4
VASP calculation (SCAN) on a crystal of ZrRuSe2 relaxed with PBEsol.

Properties
formation energy without anion corrections	-239	meV per atom
size of the total moment	0.0000	μB/atom
raw total energy	-106.6	eV/f.u.

abc: 4.1782 4.1782 5.0285
angles: 109.79 109.79 100.66
Closest atoms and distances in Å follow each position.
Fractional positions:
Ru1 0.5000 0.5000 0.0000  2 Zr 2.67, 4 Se 2.67
Se1 0.5000 0.0000 0.5000  2 Se 2.67, 2 Ru 2.67, 2 Zr 2.67
Se2 0.0000 0.5000 0.5000  2 Se 2.67, 2 Zr 2.67, 2 Ru 2.67
Zr1 0.0000 0.0000 0.0000  2 Ru 2.67, 4 Se 2.67



No. 5
VASP calculation (SCAN) on a crystal of HgOs2Se relaxed with PBEsol.

Properties
formation energy without anion corrections	1273	meV per atom
size of the total moment	0.2025	μB/atom
raw total energy	-226.9	eV/f.u.

abc: 3.1267 4.5073 4.5073
angles: 90.00 90.00 90.00
Closest atoms and distances in Å follow each position.
Fractional positions:
Hg1 0.5000 0.0000 0.0000  8 Os 2.74
Os1 0.0000 0.0000 0.5000  4 Hg 2.74, 4 Se 2.74
Os2 0.0000 0.5000 0.0000  4 Hg 2.74, 4 Se 2.74
Se1 0.5000 0.5000 0.5000  8 Os 2.74



No. 6
VASP calculation (SCAN) on a crystal of MgBeH3 relaxed with PBEsol.

Properties
size of the total moment	0.0000	μB/atom
raw total energy	-18.6	eV/f.u.

abc: 3.3361 3.3361 3.3361
angles: 90.00 90.00 90.00
Closest atoms and distances in Å follow each position.
Fractional positions:
Be1 0.0000 0.0000 0.0000  6 H 1.67
Mg1 0.5000 0.5000 0.5000  12 H 2.36
H1 0.0000 0.5000 0.0000  2 Be 1.67
H2 0.0000 0.0000 0.5000  2 Be 1.67
H3 0.5000 0.0000 0.0000  2 Be 1.67



No. 7
VASP calculation (SCAN) on a crystal of Cs4CdNi3F12 relaxed with PBEsol.

Properties
formation energy without anion corrections	-2637	meV per atom
size of the total moment	0.3001	μB/atom
raw total energy	-325.4	eV/f.u.

abc: 6.1405 6.1405 10.5499
angles: 73.08 73.08 60.00
Closest atoms and distances in Å follow each position.
Fractional positions:
Cs1 0.7136 0.7136 0.8592  12 F 3.04-3.15
Cs2 0.8705 0.8705 0.3886  12 F 3.09-3.20
Cs3 0.2864 0.2864 0.1408  12 F 3.04-3.15
Cs4 0.1295 0.1295 0.6114  12 F 3.09-3.20
Cd1 0.0000 0.0000 0.0000  6 F 2.24
Ni1 0.4111 0.4111 0.7667  6 F 2.00-2.04
Ni2 0.5889 0.5889 0.2333  6 F 2.00-2.04
Ni3 0.5000 0.5000 0.5000  6 F 2.00
F1 0.1703 0.5996 0.6306  2 Ni 2.00-2.04
F2 0.5996 0.1703 0.6306  2 Ni 2.00-2.04
F3 0.6931 0.2166 0.8736  1 Ni 2.00
F4 0.3069 0.7834 0.1264  1 Ni 2.00
F5 0.2166 0.6931 0.8736  1 Ni 2.00
F6 0.8297 0.4004 0.3694  2 Ni 2.00-2.04
F7 0.7834 0.3069 0.1264  1 Ni 2.00
F8 0.4004 0.8297 0.3694  2 Ni 2.00-2.04
F9 0.4004 0.4004 0.3694  2 Ni 2.00-2.04
F10 0.2166 0.2166 0.8736  1 Ni 2.00
F11 0.7834 0.7834 0.1264  1 Ni 2.00
F12 0.5996 0.5996 0.6306  2 Ni 2.00-2.04



No. 8
VASP calculation (SCAN) on a crystal of Zr3W relaxed with PBEsol.

Properties
calculated formation energy	0.2240	eV/atom
size of the total moment	0.0000	μB/atom
energy above the lowest structure with this stoichiometry	25	meV/atom
raw total energy	-160.9	eV/f.u.

abc: 3.4287 4.7583 4.8577
angles: 90.00 90.00 90.00
Closest atoms and distances in Å follow each position.
Fractional positions:
W1 0.0000 0.0000 0.9538  10 Zr 2.90-3.15
Zr1 0.0000 0.5000 0.3783  8 Zr 2.89-3.05, 2 W 3.15
Zr2 0.5000 0.0000 0.4358  4 W 2.90-3.04, 4 Zr 2.95
Zr3 0.5000 0.5000 0.8988  4 Zr 2.89-3.05, 4 W 2.94



Q: size of the total moment of number 8 (Zr3W)?
A: 0.0000 μB/atom



Q: What is the raw total energy in the fifth record?
A: -226.9 eV/f.u.



Q: The highest size of the total moment belongs to which entry?
A: Cs4CdNi3F12